# 1
Computed, not measured: a crystal of MnTe2CI relaxed with PBEsol at the SCAN level of DFT.

Results
ΔE_f (raw)	1.05	eV/atom
D(E_F)	2.77	states/eV/cell

a = 4.8220 Å, b = 4.8220 Å, c = 4.7119 Å
α = 90.00°, β = 90.00°, γ = 90.00°
Space group P4/mmm (No. 123)
Inequivalent atoms, fractional coordinates:
Mn 0.0000 0.0000 0.0000 [1 per cell]
Te 0.0000 0.5000 0.5000 [2 per cell]
C 0.5000 0.5000 0.5000 [1 per cell]
I 0.5000 0.5000 0.0000 [1 per cell]

# 2
Computed, not measured: a crystal of MoC2I2 relaxed with PBEsol at the SCAN level of DFT.

Results
ΔE_f (raw)	1.59	eV/atom
D(E_F)	1.95	states/eV/cell

a = 5.1983 Å, b = 5.1983 Å, c = 6.0146 Å
α = 90.00°, β = 90.00°, γ = 90.00°
Space group I4/mmm (No. 139)
Inequivalent atoms, fractional coordinates:
Mo 0.0000 0.0000 0.0000 [2 per cell]
C 0.0000 0.0000 0.3935 [4 per cell]
I 0.0000 0.5000 0.2500 [4 per cell]